VASP calculation (PBE-GGA) on a relaxed structure of AlGaH2.

abc: 3.055 3.055 6.072
angles: 75.43 75.43 60.00
Sites, in units of the cell vectors:
H (0.122, 0.122, 0.635)
H (0.878, 0.878, 0.365)
Al (0.500, 0.500, 0.500)
Ga (0.000, 0.000, 0.000)

The value obtained for the total energy is -3.0542 eV/atom. The density of states at the Fermi level comes out at 0.8 states/eV/f.u. Its space-group type is R-3m (166).